[1]
K2RbBiCl6 | SCAN | PBEsol geometry

Cell: 8.0663 8.0663 8.0663 Å, 60.00 60.00 60.00°
Fractional positions:
Cl 0.2349 0.2349 0.7651
Cl 0.2349 0.7651 0.2349
Cl 0.7651 0.7651 0.2349
Cl 0.7651 0.2349 0.7651
Cl 0.7651 0.2349 0.2349
Cl 0.2349 0.7651 0.7651
K 0.7500 0.7500 0.7500
K 0.2500 0.2500 0.2500
Rb 0.5000 0.5000 0.5000
Bi 0.0000 0.0000 0.0000

- Symmetry: Fm-3m (225)
- Calculated total energy: -18.001 eV/atom
- Energy relative to the elements, uncorrected: -16.17 eV per formula unit
- Total magnetization: 0.00 Bohr magnetons per cell

---

[2]
KBiSCl2 | SCAN | PBEsol geometry

Cell: 5.2153 5.2153 5.4690 Å, 90.00 90.00 90.00°
Each line ends with the local moment (μB).
Fractional positions:
Cl 0.0000 0.5000 0.0000  0.01
Cl 0.5000 0.0000 0.0000  0.01
K 0.0000 0.0000 0.0000  0.03
Bi 0.5000 0.5000 0.5000  -0.38
S 0.0000 0.0000 0.5000  0.43

- Symmetry: P4/mmm (123)
- Calculated total energy: -22.457 eV/atom
- Energy relative to the elements, uncorrected: 0.21 eV per formula unit
- Total magnetization: 0.08 Bohr magnetons per cell